Here is La15Er4Tl after structural relaxation from the Alexandria database. Energies are from PBE.

POSCAR file:
```
La15Er4Tl
1.0
5.161 0.000 0.000
0.000 5.161 0.000
0.000 0.000 26.001
La Er Tl
15 4 1
Direct
0.000 0.500 0.701
0.500 0.500 0.601
0.000 0.500 0.299
0.500 0.500 0.399
0.500 0.000 0.500
0.500 0.000 0.902
0.500 0.000 0.098
0.000 0.500 0.902
0.000 0.500 0.098
0.500 0.000 0.701
0.000 0.500 0.500
0.500 0.500 0.000
0.500 0.500 0.199
0.500 0.500 0.801
0.500 0.000 0.299
0.000 0.000 0.199
0.000 0.000 0.801
0.000 0.000 0.600
0.000 0.000 0.400
0.000 0.000 0.000
```

## Properties
density: 7.1 g cm⁻³
crystal system: tetragonal
space-group type: P4/mmm (123)
formation enthalpy at 0 K: -0.04 eV per atom
size of the total moment: 0.00 Bohr magnetons per cell
raw total energy: -4.762 eV/atom

---

Here is LaEr6Tl4 after structural relaxation from the Alexandria database. Energies are from PBE.

POSCAR file:
```
LaEr6Tl4
1.0
-0.324 1.673 3.368
-9.705 1.779 -1.818
2.780 -8.524 4.502
Tl La Er
4 1 6
Direct
0.000 0.333 0.667
0.500 0.834 0.668
0.500 0.332 0.166
0.500 0.834 0.166
0.000 0.000 0.000
0.000 0.923 0.462
0.000 0.538 0.462
0.000 0.538 0.077
0.500 0.192 0.385
0.500 0.615 0.808
0.500 0.192 0.808
```

## Properties
density: 9.9 g cm⁻³
crystal system: hexagonal
space-group type: P-6m2 (187)
formation enthalpy at 0 K: -0.23 eV per atom
size of the total moment: 2.45 Bohr magnetons per cell
raw total energy: -4.024 eV/atom

---

Here is La9ErTl2 after structural relaxation from the Alexandria database. Energies are from PBE.

POSCAR file:
```
La9ErTl2
1.0
5.094 0.000 0.000
0.000 5.094 0.000
0.000 0.000 15.509
Er La Tl
1 9 2
Direct
0.000 0.000 0.000
0.500 0.000 0.829
0.000 0.500 0.500
0.000 0.500 0.171
0.500 0.500 0.335
0.000 0.500 0.829
0.500 0.000 0.500
0.500 0.500 0.000
0.500 0.000 0.171
0.500 0.500 0.665
0.000 0.000 0.663
0.000 0.000 0.337
```

## Properties
density: 7.5 g cm⁻³
crystal system: tetragonal
space-group type: P4/mmm (123)
formation enthalpy at 0 K: -0.15 eV per atom
size of the total moment: 0.00 Bohr magnetons per cell
raw total energy: -4.618 eV/atom

---

Here is LaEr2Tl after structural relaxation from the Alexandria database. Energies are from PBE.

POSCAR file:
```
LaEr2Tl
1.0
3.616 0.000 0.000
1.808 3.132 0.000
1.808 1.044 11.032
Er La Tl
2 1 1
Direct
0.257 0.257 0.228
0.076 0.076 0.772
0.500 0.500 0.500
0.666 0.666 0.001
```

## Properties
density: 9.0 g cm⁻³
crystal system: trigonal
space-group type: R3m (160)
energy above the most stable polymorph in this dataset: 0.40 eV per formula unit
formation enthalpy at 0 K: -0.08 eV per atom
size of the total moment: 0.00 Bohr magnetons per cell
raw total energy: -4.188 eV/atom